Record 1
! SmScNi2B2C2 PBE optimized geometry; values from VASP
&SYSTEM
  ibrav = 0, nat = 8, ntyp = 5
/
ATOMIC_SPECIES
Sm 150.36 Sm.upf
Sc 44.96 Sc.upf
Ni 58.69 Ni.upf
B 10.81 B.upf
C 12.01 C.upf
CELL_PARAMETERS angstrom
3.566 0.000 0.000
0.000 3.566 0.000
0.000 0.000 7.473
ATOMIC_POSITIONS crystal
Sm 0.000 0.000 0.000
Sc 0.500 0.500 0.678
Ni 0.000 0.500 0.338
Ni 0.500 0.000 0.338
B 0.000 0.000 0.477
B 0.500 0.500 0.184
C 0.000 0.000 0.675
C 0.500 0.500 0.982
! ρ	6.3	g/cm³
! size of the total moment	0.00	μB per cell
! final energy	-57.55	eV for the cell shown
! space group	P4mm, No. 99


Record 2
! Cs2KCu7 PBE optimized geometry; values from VASP
&SYSTEM
  ibrav = 0, nat = 10, ntyp = 3
/
ATOMIC_SPECIES
Cs 132.91 Cs.upf
K 39.10 K.upf
Cu 63.55 Cu.upf
CELL_PARAMETERS angstrom
2.837 -5.969 0.000
2.837 5.969 0.000
0.000 0.000 6.701
ATOMIC_POSITIONS crystal
Cs 0.157 0.843 0.000
Cs 0.843 0.157 0.000
K 0.000 0.000 0.500
Cu 0.000 0.500 0.500
Cu 0.396 0.604 0.320
Cu 0.396 0.604 0.680
Cu 0.500 0.000 0.500
Cu 0.500 0.500 0.000
Cu 0.604 0.396 0.320
Cu 0.604 0.396 0.680
! ρ	5.5	g/cm³
! final energy	-25.94	eV for the cell shown
! space group	Cmmm, No. 65


Record 3
! Ho3Er2Tm2Ni2Te2 PBE optimized geometry; values from VASP
&SYSTEM
  ibrav = 0, nat = 11, ntyp = 5
/
ATOMIC_SPECIES
Ho 164.93 Ho.upf
Er 167.26 Er.upf
Tm 168.93 Tm.upf
Ni 58.69 Ni.upf
Te 127.60 Te.upf
CELL_PARAMETERS angstrom
-1.913 7.747 4.751
1.913 -7.747 4.751
1.913 7.747 -4.751
ATOMIC_POSITIONS crystal
Ho 0.000 0.000 0.000
Ho 0.449 0.582 0.867
Ho 0.715 0.582 0.133
Er 0.064 0.379 0.685
Er 0.693 0.379 0.315
Tm 0.083 0.729 0.353
Tm 0.376 0.729 0.647
Ni 0.309 0.072 0.237
Ni 0.835 0.072 0.763
Te 0.336 0.336 0.000
Te 0.735 0.235 0.500
! ρ	9.1	g/cm³
! size of the total moment	0.00	μB per cell
! final energy	-56.70	eV for the cell shown
! space group	Imm2, No. 44


Record 4
! ErMgB4 PBE optimized geometry; values from VASP
&SYSTEM
  ibrav = 0, nat = 6, ntyp = 3
/
ATOMIC_SPECIES
Er 167.26 Er.upf
Mg 24.30 Mg.upf
B 10.81 B.upf
CELL_PARAMETERS angstrom
3.179 0.000 0.000
-1.590 2.753 0.000
0.000 0.000 7.288
ATOMIC_POSITIONS crystal
Er 0.000 0.000 0.000
Mg 0.000 0.000 0.500
B 0.333 0.667 0.260
B 0.333 0.667 0.740
B 0.667 0.333 0.260
B 0.667 0.333 0.740
! ρ	6.1	g/cm³
! size of the total moment	0.02	μB per cell
! final energy	-34.89	eV for the cell shown
! space group	P6/mmm, No. 191